# 1
## Hf2HgPbI (PBE)

Data for crystalline Hf2HgPbI at its relaxed geometry.

Values from the calculation:
The value obtained for the formation energy (no corrections) is 1.282 eV per atom. As for the electronic total energy: -3.81 eV per atom.

Cell and atoms, written as POSCAR:
```
Hf2HgPbI
1.0
5.5477 0.0000 0.0000
0.0000 5.5477 0.0000
0.0000 0.0000 6.1745
Hf Hg Pb I
2 1 1 1
Cartesian
0.0000 2.7738 0.0000
2.7738 0.0000 0.0000
0.0000 0.0000 3.0872
2.7738 2.7738 0.0000
2.7738 2.7738 3.0872
```

=====

# 2
## HfHgPdI2 (PBE)

Data for crystalline HfHgPdI2 at its relaxed geometry.

Values from the calculation:
The value obtained for the formation energy (no corrections) is 0.426 eV per atom. As for the electronic total energy: -3.28 eV per atom.

Cell and atoms, written as POSCAR:
```
HfHgPdI2
1.0
5.5939 0.0000 0.0000
0.0000 5.5939 0.0000
0.0000 0.0000 5.6298
Hf Hg Pd I
1 1 1 2
Cartesian
0.0000 0.0000 0.0000
0.0000 0.0000 2.8149
2.7969 2.7969 2.8149
0.0000 2.7969 0.0000
2.7969 0.0000 0.0000
```

=====

# 3
## Rb2HfHg2I6 (PBE)

Data for crystalline Rb2HfHg2I6 at its relaxed geometry.

Values from the calculation:
The value obtained for the formation energy (no corrections) is -0.938 eV per atom. As for the electronic total energy: -2.92 eV per atom.

Cell and atoms, written as POSCAR:
```
Rb2HfHg2I6
1.0
4.3870 -7.7718 0.0000
4.3870 7.7718 0.0000
-3.6928 0.0000 8.6973
Rb Hf Hg I
2 1 2 6
Cartesian
4.3870 5.1425 0.0000
4.3870 -5.1425 0.0000
4.3870 0.0000 0.0000
2.5407 3.0249 4.3486
2.5407 -3.0249 4.3486
-0.4496 2.0108 6.9978
2.0515 0.0000 1.6644
-0.4496 -2.0108 6.9978
5.5310 2.0108 1.6995
3.0298 0.0000 7.0329
5.5310 -2.0108 1.6995
```

=====

Q: Among the records above, which one has the highest electronic total energy?
A: Rb2HfHg2I6